[1]
CsTi3Hg PBE relaxed; formation enthalpy at 0 K = 1.32 eV per atom; ΔE to the lowest computed polymorph = 0 meV per atom
1.0
5.2505 0.0000 0.0000
0.0000 5.2505 0.0000
0.0000 0.0000 5.2505
Ti Hg Cs
3 1 1
direct
0.5000 0.0000 0.0000 Ti
0.0000 0.5000 0.0000 Ti
0.0000 0.0000 0.5000 Ti
0.0000 0.0000 0.0000 Hg
0.5000 0.5000 0.5000 Cs


[2]
Y6HgC3 PBE relaxed; formation enthalpy at 0 K = -0.32 eV per atom
1.0
-0.6886 -2.7292 2.2877
-9.2631 -2.4597 -5.7225
8.8102 -5.9537 -4.4510
C Hg Y
6 2 12
direct
0.2500 0.2589 0.7141 C
0.2500 0.0363 0.1464 C
0.7500 0.9637 0.8536 C
0.2500 0.6520 0.5304 C
0.7500 0.7411 0.2859 C
0.7500 0.3480 0.4696 C
0.2500 0.3717 0.1143 Hg
0.7500 0.6283 0.8857 Hg
0.7500 0.5388 0.3814 Y
0.2500 0.8674 0.9489 Y
0.2500 0.0552 0.7638 Y
0.7500 0.1808 0.5654 Y
0.2500 0.8192 0.4346 Y
0.2500 0.2447 0.3307 Y
0.7500 0.7553 0.6693 Y
0.7500 0.3505 0.8632 Y
0.7500 0.9448 0.2362 Y
0.7500 0.1326 0.0511 Y
0.2500 0.4612 0.6186 Y
0.2500 0.6495 0.1368 Y


[3]
Cs2ScAg2Te4 PBE relaxed; formation energy (no corrections) = -793 meV per atom
1.0
-4.0085 -1.7181 0.0884
1.1584 -3.1370 -8.4424
4.6090 -4.9490 5.1900
Sc Ag Cs Te
1 2 2 4
direct
0.0000 0.0000 0.0000 Sc
0.6835 0.9768 0.3671 Ag
0.3165 0.0232 0.6329 Ag
0.8681 0.4312 0.7363 Cs
0.1319 0.5688 0.2637 Cs
0.8131 0.8211 0.6262 Te
0.1869 0.1789 0.3738 Te
0.4881 0.2164 0.9762 Te
0.5119 0.7836 0.0238 Te


[4]
BaNd2AgS4 PBE relaxed; formation energy (no corrections) = -1698 meV per atom
1.0
4.1628 0.0000 0.0000
-2.0814 6.9333 0.0000
0.0000 0.0000 14.2374
S Nd Ag Ba
8 4 2 2
direct
0.2692 0.5384 0.1129 S
0.7308 0.4616 0.6129 S
0.4519 0.9038 0.7500 S
0.0000 0.0000 0.0000 S
0.7308 0.4616 0.8871 S
0.0000 0.0000 0.5000 S
0.2692 0.5384 0.3871 S
0.5481 0.0962 0.2500 S
0.6263 0.2526 0.0581 Nd
0.3737 0.7474 0.5581 Nd
0.3737 0.7474 0.9419 Nd
0.6263 0.2526 0.4419 Nd
0.1501 0.3002 0.2500 Ag
0.8499 0.6998 0.7500 Ag
0.1219 0.2439 0.7500 Ba
0.8781 0.7561 0.2500 Ba


[5]
RbPdI PBE relaxed; ΔE to the lowest computed polymorph = 307 meV per atom; formation energy (no corrections) = -366 meV per atom
1.0
-10.2985 -5.1319 -2.0251
3.7153 -5.7437 -4.3380
0.4698 -2.3071 3.4570
Pd Rb I
4 4 4
direct
0.5380 0.7500 0.0019 Pd
0.9620 0.2500 0.5019 Pd
0.0380 0.7500 0.4981 Pd
0.4620 0.2500 0.9981 Pd
0.7314 0.2500 0.0051 Rb
0.2314 0.2500 0.4949 Rb
0.2686 0.7500 0.9949 Rb
0.7686 0.7500 0.5051 Rb
0.0000 0.5000 0.0000 I
0.0000 0.0000 0.0000 I
0.5000 0.0000 0.5000 I
0.5000 0.5000 0.5000 I